Computed, not measured: a relaxed structure of K3RbRu at the PBE-GGA level of DFT.

```
K3RbRu
1.0
6.316 0.000 0.000
0.000 6.316 0.000
0.000 0.000 6.316
K Rb Ru
3 1 1
direct
0.000 0.000 0.500
0.000 0.500 0.000
0.500 0.000 0.000
0.500 0.500 0.500
0.000 0.000 0.000
```

space group = Pm-3m (221)
DFT formation energy = 0.89 eV per atom
raw total energy = -1.8141 eV per atom

Computed, not measured: a relaxed structure of KRbRu2 at the PBE-GGA level of DFT.

```
KRbRu2
1.0
7.583 0.000 0.000
0.000 7.583 0.000
0.000 0.000 7.583
K Rb Ru
4 4 8
direct
0.000 0.000 0.000
0.000 0.500 0.500
0.500 0.000 0.500
0.500 0.500 0.000
0.000 0.000 0.500
0.000 0.500 0.000
0.500 0.000 0.000
0.500 0.500 0.500
0.250 0.250 0.250
0.250 0.250 0.750
0.250 0.750 0.250
0.250 0.750 0.750
0.750 0.250 0.250
0.750 0.250 0.750
0.750 0.750 0.250
0.750 0.750 0.750
```

space group = Fm-3m (225)
DFT formation energy = 2.07 eV per atom
energy relative to the lowest polymorph listed for this composition = 253 meV per atom
raw total energy = -3.0824 eV per atom

Computed, not measured: a relaxed structure of KRbRu2 at the PBE-GGA level of DFT.

```
KRbRu2
1.0
9.346 0.000 0.000
0.000 9.346 0.000
0.000 0.000 5.306
K Rb Ru
4 4 8
direct
0.000 0.000 0.000
0.000 0.500 0.250
0.500 0.000 0.750
0.500 0.500 0.500
0.000 0.000 0.500
0.000 0.500 0.750
0.500 0.000 0.250
0.500 0.500 0.000
0.247 0.250 0.125
0.250 0.747 0.375
0.250 0.753 0.875
0.253 0.250 0.625
0.747 0.750 0.625
0.750 0.247 0.875
0.750 0.253 0.375
0.753 0.750 0.125
```

space group = I-42d (122)
DFT formation energy = 1.82 eV per atom
energy relative to the lowest polymorph listed for this composition = 0 meV per atom
raw total energy = -3.3355 eV per atom

Computed, not measured: a relaxed structure of KRb3Ru at the PBE-GGA level of DFT.

```
KRb3Ru
1.0
6.483 0.000 0.000
0.000 6.483 0.000
0.000 0.000 6.483
K Rb Ru
1 3 1
direct
0.000 0.000 0.000
0.000 0.500 0.500
0.500 0.000 0.500
0.500 0.500 0.000
0.500 0.500 0.500
```

space group = Pm-3m (221)
DFT formation energy = 0.93 eV per atom
raw total energy = -1.7251 eV per atom

Computed, not measured: a relaxed structure of K2RbSnRu at the PBE-GGA level of DFT.

```
K2RbSnRu
1.0
6.702 0.000 0.000
0.000 6.702 0.000
0.000 0.000 7.016
K Rb Sn Ru
2 1 1 1
direct
0.000 0.500 0.000
0.500 0.000 0.000
0.000 0.000 0.500
0.000 0.000 0.000
0.500 0.500 0.500
```

space group = P4/mmm (123)
DFT formation energy = 1.22 eV per atom
raw total energy = -2.0654 eV per atom

Computed, not measured: a relaxed structure of KRbS2 at the PBE-GGA level of DFT.

```
KRbS2
1.0
8.846 0.000 0.000
0.000 8.846 0.000
0.000 0.000 5.874
K Rb S
4 4 8
direct
0.000 0.000 0.000
0.000 0.500 0.250
0.500 0.000 0.750
0.500 0.500 0.500
0.000 0.000 0.500
0.000 0.500 0.750
0.500 0.000 0.250
0.500 0.500 0.000
0.238 0.250 0.125
0.250 0.738 0.375
0.250 0.762 0.875
0.262 0.250 0.625
0.738 0.750 0.625
0.750 0.238 0.875
0.750 0.262 0.375
0.762 0.750 0.125
```

space group = I-42d (122)
energy relative to the elements, uncorrected = -0.456 eV per atom
energy relative to the lowest polymorph listed for this composition = 412 meV per atom
raw total energy = -3.0355 eV per atom

Computed, not measured: a relaxed structure of KRb2S at the PBE-GGA level of DFT.

```
KRb2S
1.0
5.028 0.000 0.000
-2.514 4.355 0.000
0.000 0.000 37.927
K Rb S
3 6 3
direct
0.000 0.000 0.000
0.333 0.667 0.667
0.667 0.333 0.333
0.000 0.000 0.130
0.000 0.000 0.870
0.333 0.667 0.537
0.333 0.667 0.796
0.667 0.333 0.204
0.667 0.333 0.463
0.000 0.000 0.500
0.333 0.667 0.167
0.667 0.333 0.833
```

space group = R-3m (166)
energy relative to the elements, uncorrected = -0.598 eV per atom
raw total energy = -2.3875 eV per atom

Computed, not measured: a relaxed structure of KRbS5 at the PBE-GGA level of DFT.

```
KRbS5
1.0
6.749 -5.414 0.000
6.749 5.414 0.000
-2.995 0.000 6.850
K Rb S
2 2 10
direct
0.000 0.500 0.000
0.500 0.000 0.500
0.212 0.788 0.750
0.788 0.212 0.250
0.058 0.167 0.699
0.157 0.843 0.250
0.167 0.058 0.199
0.417 0.494 0.329
0.494 0.417 0.829
0.506 0.583 0.171
0.583 0.506 0.671
0.833 0.942 0.801
0.843 0.157 0.750
0.942 0.833 0.301
```

space group = C2/c (15)
energy relative to the elements, uncorrected = -0.441 eV per atom
raw total energy = -3.6839 eV per atom

Number 1: mass density 2.00 g cm⁻³, calculated volume 50.4 Å³ per atom. Number 2: mass density 4.98 g cm⁻³, calculated volume 27.2 Å³ per atom. Number 3: mass density 4.68 g cm⁻³, calculated volume 29.0 Å³ per atom. Number 4: mass density 2.42 g cm⁻³, calculated volume 54.5 Å³ per atom. Number 5: mass density 2.02 g cm⁻³, calculated volume 63.0 Å³ per atom. Number 6: mass density 2.73 g cm⁻³, calculated volume 28.7 Å³ per atom. Number 7: mass density 1.45 g cm⁻³, calculated volume 69.2 Å³ per atom. Number 8: mass density 1.89 g cm⁻³, calculated volume 35.8 Å³ per atom.